[1]
{
  "formula": "LiLa3Al2O9",
  "functional": "GGA-PBE",
  "state": "optimized geometry",
  "dos_ef_per_ev_cell": 8.71,
  "magnetic_moment_mub_per_cell": 2.04,
  "dft_energy_ev_per_atom": -7.4429,
  "space_group": "P-3m1",
  "lattice_angstrom": [[5.365, 0.000, 0.000], [-2.683, 4.646, 0.000], [0.000, 0.000, 6.775]],
  "species": ["Li", "La", "La", "La", "Al", "Al", "O", "O", "O", "O", "O", "O", "O", "O", "O"],
  "fractional_positions": [[0.000, 0.000, 0.000], [0.000, 0.000, 0.500], [0.333, 0.667, 0.153], [0.667, 0.333, 0.847], [0.333, 0.667, 0.656], [0.667, 0.333, 0.344], [0.000, 0.500, 0.500], [0.173, 0.345, 0.826], [0.173, 0.827, 0.826], [0.345, 0.173, 0.174], [0.500, 0.000, 0.500], [0.500, 0.500, 0.500], [0.655, 0.827, 0.826], [0.827, 0.173, 0.174], [0.827, 0.655, 0.174]]
}

***

[2]
{
  "formula": "LiLa2AlOs",
  "functional": "GGA-PBE",
  "state": "optimized geometry",
  "dos_ef_per_ev_cell": 4.04,
  "ef_ev_per_atom": -0.0964,
  "magnetic_moment_mub_per_cell": 0.00,
  "dft_energy_ev_per_atom": -5.4446,
  "space_group": "P4/mmm",
  "lattice_angstrom": [[5.565, 0.000, 0.000], [0.000, 5.565, 0.000], [0.000, 0.000, 4.931]],
  "species": ["Li", "La", "La", "Al", "Os"],
  "fractional_positions": [[0.000, 0.000, 0.000], [0.000, 0.500, 0.500], [0.500, 0.000, 0.500], [0.500, 0.500, 0.000], [0.500, 0.500, 0.500]]
}

***

[3]
{
  "formula": "Li2LaAlP",
  "functional": "GGA-PBE",
  "state": "optimized geometry",
  "dos_ef_per_ev_cell": 4.10,
  "ef_ev_per_atom": -0.1848,
  "magnetic_moment_mub_per_cell": 0.00,
  "dft_energy_ev_per_atom": -3.7663,
  "space_group": "P4/mmm",
  "lattice_angstrom": [[4.637, 0.000, 0.000], [0.000, 4.637, 0.000], [0.000, 0.000, 5.017]],
  "species": ["Li", "Li", "La", "Al", "P"],
  "fractional_positions": [[0.000, 0.500, 0.000], [0.500, 0.000, 0.000], [0.000, 0.000, 0.500], [0.500, 0.500, 0.500], [0.500, 0.500, 0.000]]
}

***

[4]
{
  "formula": "LiLaAl2Pd4",
  "functional": "GGA-PBE",
  "state": "optimized geometry",
  "dos_ef_per_ev_cell": 4.40,
  "ef_ev_per_atom": -0.8281,
  "magnetic_moment_mub_per_cell": 0.00,
  "dft_energy_ev_per_atom": -5.2153,
  "space_group": "R-3m",
  "lattice_angstrom": [[2.147, 1.240, 8.734], [-2.147, 1.240, 8.734], [0.000, -2.479, 8.734]],
  "species": ["Li", "La", "Al", "Al", "Pd", "Pd", "Pd", "Pd"],
  "fractional_positions": [[0.000, 0.000, 0.000], [0.500, 0.500, 0.500], [0.268, 0.268, 0.268], [0.732, 0.732, 0.732], [0.095, 0.095, 0.095], [0.368, 0.368, 0.368], [0.632, 0.632, 0.632], [0.905, 0.905, 0.905]]
}

***

[5]
{
  "formula": "LiLa2AlPd6",
  "functional": "GGA-PBE",
  "state": "optimized geometry",
  "dos_ef_per_ev_cell": 2.54,
  "ef_ev_per_atom": -0.6335,
  "magnetic_moment_mub_per_cell": 0.00,
  "dft_energy_ev_per_atom": -5.3003,
  "space_group": "C2/m",
  "lattice_angstrom": [[5.117, -2.954, 0.000], [5.117, 2.954, 0.000], [-3.414, 0.000, 6.551]],
  "species": ["Li", "La", "La", "Al", "Pd", "Pd", "Pd", "Pd", "Pd", "Pd"],
  "fractional_positions": [[0.000, 0.000, 0.000], [0.241, 0.241, 0.722], [0.759, 0.759, 0.278], [0.500, 0.500, 0.500], [0.245, 0.737, 0.229], [0.246, 0.246, 0.230], [0.263, 0.755, 0.771], [0.737, 0.245, 0.229], [0.754, 0.754, 0.770], [0.755, 0.263, 0.771]]
}

***

[6]
{
  "formula": "LiLaAl2Pd",
  "functional": "GGA-PBE",
  "state": "optimized geometry",
  "dos_ef_per_ev_cell": 1.15,
  "ef_ev_per_atom": -0.4508,
  "magnetic_moment_mub_per_cell": 0.00,
  "dft_energy_ev_per_atom": -4.3547,
  "space_group": "P4/mmm",
  "lattice_angstrom": [[4.761, 0.000, 0.000], [0.000, 4.761, 0.000], [0.000, 0.000, 4.772]],
  "species": ["Li", "La", "Al", "Al", "Pd"],
  "fractional_positions": [[0.000, 0.000, 0.000], [0.500, 0.500, 0.000], [0.000, 0.500, 0.500], [0.500, 0.000, 0.500], [0.000, 0.000, 0.500]]
}

***

[7]
{
  "formula": "LiLa2Al3Pd4",
  "functional": "GGA-PBE",
  "state": "optimized geometry",
  "dos_ef_per_ev_cell": 5.90,
  "ef_ev_per_atom": -0.7971,
  "magnetic_moment_mub_per_cell": 0.00,
  "dft_energy_ev_per_atom": -5.1738,
  "space_group": "P-4m2",
  "lattice_angstrom": [[4.351, 0.000, 0.000], [0.000, 4.351, 0.000], [0.000, 0.000, 10.476]],
  "species": ["Li", "La", "La", "Al", "Al", "Al", "Pd", "Pd", "Pd", "Pd"],
  "fractional_positions": [[0.000, 0.000, 0.000], [0.000, 0.500, 0.748], [0.500, 0.000, 0.252], [0.000, 0.500, 0.377], [0.500, 0.000, 0.623], [0.500, 0.500, 0.000], [0.000, 0.000, 0.500], [0.000, 0.500, 0.134], [0.500, 0.000, 0.866], [0.500, 0.500, 0.500]]
}

***

[8]
{
  "formula": "Li2La2Al5Pd",
  "functional": "GGA-PBE",
  "state": "optimized geometry",
  "dos_ef_per_ev_cell": 7.93,
  "ef_ev_per_atom": -0.3521,
  "magnetic_moment_mub_per_cell": 0.00,
  "dft_energy_ev_per_atom": -4.1109,
  "space_group": "P4/mbm",
  "lattice_angstrom": [[10.084, 0.000, 0.000], [0.000, 10.084, 0.000], [0.000, 0.000, 3.930]],
  "species": ["Li", "Li", "Li", "Li", "La", "La", "La", "La", "Al", "Al", "Al", "Al", "Al", "Al", "Al", "Al", "Al", "Al", "Pd", "Pd"],
  "fractional_positions": [[0.116, 0.384, 0.000], [0.384, 0.884, 0.000], [0.616, 0.116, 0.000], [0.884, 0.616, 0.000], [0.186, 0.686, 0.000], [0.314, 0.186, 0.000], [0.686, 0.814, 0.000], [0.814, 0.314, 0.000], [0.000, 0.500, 0.500], [0.046, 0.187, 0.500], [0.187, 0.954, 0.500], [0.313, 0.454, 0.500], [0.454, 0.687, 0.500], [0.500, 0.000, 0.500], [0.546, 0.313, 0.500], [0.687, 0.546, 0.500], [0.813, 0.046, 0.500], [0.954, 0.813, 0.500], [0.000, 0.000, 0.000], [0.500, 0.500, 0.000]]
}

***

[9]
{
  "formula": "LiLaAlPd",
  "functional": "GGA-PBE",
  "state": "optimized geometry",
  "dos_ef_per_ev_cell": 24.27,
  "ef_ev_per_atom": -0.4773,
  "magnetic_moment_mub_per_cell": 0.01,
  "dft_energy_ev_per_atom": -4.4215,
  "space_group": "F-43m",
  "lattice_angstrom": [[6.858, 0.000, 0.000], [0.000, 6.858, 0.000], [0.000, 0.000, 6.858]],
  "species": ["Li", "Li", "Li", "Li", "La", "La", "La", "La", "Al", "Al", "Al", "Al", "Pd", "Pd", "Pd", "Pd"],
  "fractional_positions": [[0.000, 0.000, 0.000], [0.000, 0.500, 0.500], [0.500, 0.000, 0.500], [0.500, 0.500, 0.000], [0.250, 0.250, 0.750], [0.250, 0.750, 0.250], [0.750, 0.250, 0.250], [0.750, 0.750, 0.750], [0.250, 0.250, 0.250], [0.250, 0.750, 0.750], [0.750, 0.250, 0.750], [0.750, 0.750, 0.250], [0.000, 0.000, 0.500], [0.000, 0.500, 0.000], [0.500, 0.000, 0.000], [0.500, 0.500, 0.500]]
}

***

[10]
{
  "formula": "LiLa2Al12Pt3",
  "functional": "GGA-PBE",
  "state": "optimized geometry",
  "dos_ef_per_ev_cell": 10.32,
  "ef_ev_per_atom": -0.1708,
  "magnetic_moment_mub_per_cell": 0.00,
  "dft_energy_ev_per_atom": -4.3264,
  "space_group": "R-3m",
  "lattice_angstrom": [[4.529, 2.615, 5.904], [-4.529, 2.615, 5.904], [0.000, -5.229, 5.904]],
  "species": ["Li", "La", "La", "Al", "Al", "Al", "Al", "Al", "Al", "Al", "Al", "Al", "Al", "Al", "Al", "Pt", "Pt", "Pt"],
  "fractional_positions": [[0.000, 0.000, 0.000], [0.402, 0.402, 0.402], [0.598, 0.598, 0.598], [0.135, 0.135, 0.644], [0.135, 0.644, 0.135], [0.142, 0.733, 0.733], [0.267, 0.267, 0.858], [0.267, 0.858, 0.267], [0.356, 0.865, 0.865], [0.644, 0.135, 0.135], [0.733, 0.142, 0.733], [0.733, 0.733, 0.142], [0.858, 0.267, 0.267], [0.865, 0.356, 0.865], [0.865, 0.865, 0.356], [0.000, 0.000, 0.500], [0.000, 0.500, 0.000], [0.500, 0.000, 0.000]]
}

***

[11]
{
  "formula": "Li2LaAlPt4",
  "functional": "GGA-PBE",
  "state": "optimized geometry",
  "dos_ef_per_ev_cell": 3.44,
  "ef_ev_per_atom": -0.8506,
  "magnetic_moment_mub_per_cell": 0.00,
  "dft_energy_ev_per_atom": -5.4332,
  "space_group": "R-3m",
  "lattice_angstrom": [[2.149, 1.241, 8.505], [-2.149, 1.241, 8.505], [0.000, -2.481, 8.505]],
  "species": ["Li", "Li", "La", "Al", "Pt", "Pt", "Pt", "Pt"],
  "fractional_positions": [[0.237, 0.237, 0.237], [0.763, 0.763, 0.763], [0.000, 0.000, 0.000], [0.500, 0.500, 0.500], [0.133, 0.133, 0.133], [0.402, 0.402, 0.402], [0.598, 0.598, 0.598], [0.867, 0.867, 0.867]]
}